Entry 1:
A plane-wave DFT calculation with GGA-PBE was carried out for Ce4GeIrS2 after structural relaxation.

Cell lengths 7.134, 4.068, 7.162 Å; angles 90.00, 108.64, 90.00 degrees
Space group P2/m (No. 10)
Asymmetric unit:
Ce1 0.238 0.000 0.250 x2
Ce2 0.242 0.500 0.747 x2
Ge1 0.500 0.500 0.500 x1
Ir1 0.000 0.000 0.500 x1
S1 0.000 0.500 0.000 x1
S2 0.500 0.000 0.000 x1

Computed properties:
Magnetic moment = 2.93 μB/f.u.
Formation energy from raw total energies = -1.30 eV/atom
Total energy = -6.988 eV per atom

***

Entry 2:
A plane-wave DFT calculation with GGA-PBE was carried out for InGaNi3 after structural relaxation.

Cell lengths 4.654, 4.654, 4.654 Å; angles 90.00, 90.00, 90.00 degrees
Space group Pm-3m (No. 221)
Asymmetric unit:
In1 0.000 0.000 0.000 x1
Ga1 0.500 0.500 0.500 x1
Ni1 0.000 0.000 0.500 x3

Computed properties:
Magnetic moment = 0.00 μB/f.u.
Distance to the lowest polymorph of the same formula = 1227 meV per atom
Total energy = -3.522 eV per atom

***

Entry 3:
A plane-wave DFT calculation with GGA-PBE was carried out for CsPRhCl2 after structural relaxation.

Cell lengths 5.407, 5.407, 4.431 Å; angles 90.00, 90.00, 90.00 degrees
Space group P4/mmm (No. 123)
Asymmetric unit:
Cs1 0.000 0.000 0.000 x1
P1 0.500 0.500 0.000 x1
Rh1 0.500 0.500 0.500 x1
Cl1 0.000 0.500 0.500 x2

Computed properties:
Magnetic moment = 0.00 μB/f.u.
Distance to the lowest polymorph of the same formula = 0 meV per atom
Formation energy from raw total energies = -0.62 eV/atom
Total energy = -4.078 eV per atom

***

Entry 4:
A plane-wave DFT calculation with GGA-PBE was carried out for RbHfInAs2 after structural relaxation.

Cell lengths 5.341, 5.341, 5.682 Å; angles 90.00, 90.00, 90.00 degrees
Space group P4/mmm (No. 123)
Asymmetric unit:
Rb1 0.000 0.000 0.000 x1
Hf1 0.500 0.500 0.000 x1
In1 0.000 0.000 0.500 x1
As1 0.000 0.500 0.500 x2

Computed properties:
Magnetic moment = 1.46 μB/f.u.
Distance to the lowest polymorph of the same formula = 0 meV per atom
Total energy = -3.440 eV per atom

***

Entry 5:
A plane-wave DFT calculation with GGA-PBE was carried out for Y3HgHS after structural relaxation.

Cell lengths 8.113, 3.978, 8.640 Å; angles 90.00, 102.82, 90.00 degrees
Space group P2_1/m (No. 11)
Asymmetric unit:
Y1 0.068 0.250 0.328 x2
Y2 0.310 0.250 0.974 x2
Y3 0.391 0.750 0.636 x2
Hg1 0.318 0.750 0.247 x2
H1 0.411 0.750 0.902 x2
S1 0.160 0.250 0.653 x2

Computed properties:
Magnetic moment = 0.00 μB/f.u.
Total energy = -5.513 eV per atom

***

Entry 6:
A plane-wave DFT calculation with GGA-PBE was carried out for InTePb2Au after structural relaxation.

Cell lengths 6.016, 6.016, 5.891 Å; angles 90.00, 90.00, 90.00 degrees
Space group P4/mmm (No. 123)
Asymmetric unit:
In1 0.000 0.000 0.000 x1
Te1 0.000 0.000 0.500 x1
Pb1 0.000 0.500 0.500 x2
Au1 0.500 0.500 0.000 x1

Computed properties:
Magnetic moment = 0.00 μB/f.u.
Formation energy from raw total energies = 0.63 eV/atom
Total energy = -2.683 eV per atom

***

Entry 7:
A plane-wave DFT calculation with GGA-PBE was carried out for RbYTe2 after structural relaxation.

Cell lengths 4.5245, 4.5245, 17.1673 Å; angles 90.00, 90.00, 120.00 degrees
Space group P6_3/mmc (No. 194)
Asymmetric unit:
Rb1 0.3333 0.6667 0.2500 x2
Y1 0.0000 0.0000 0.0000 x2
Te1 0.3333 0.6667 0.5997 x4

Computed properties:
Magnetic moment = 0.00 μB/f.u.
Formation energy from raw total energies = -1.40 eV/atom
Total energy = -4.827 eV per atom

***

Entry 8:
A plane-wave DFT calculation with GGA-PBE was carried out for Ni2HRuPt after structural relaxation.

Cell lengths 3.825, 3.825, 3.690 Å; angles 90.00, 90.00, 90.00 degrees
Space group P4/mmm (No. 123)
Asymmetric unit:
Ni1 0.000 0.500 0.000 x2
H1 0.000 0.000 0.000 x1
Ru1 0.000 0.000 0.500 x1
Pt1 0.500 0.500 0.500 x1

Computed properties:
Magnetic moment = 0.00 μB/f.u.
Total energy = -5.988 eV per atom

***

Entry 9:
A plane-wave DFT calculation with GGA-PBE was carried out for FeReTc after structural relaxation.

Cell lengths 4.2898, 4.2898, 2.6321 Å; angles 90.00, 90.00, 120.00 degrees
Space group P3m1 (No. 156)
Asymmetric unit:
Fe1 0.0000 0.0000 0.0000 x1
Re1 0.6667 0.3333 0.3051 x1
Tc1 0.3333 0.6667 0.6568 x1

Computed properties:
Magnetic moment = 2.70 μB/f.u.
Distance to the lowest polymorph of the same formula = 102 meV per atom
Total energy = -10.302 eV per atom

***

Entry 10:
A plane-wave DFT calculation with GGA-PBE was carried out for NaTbPrPb after structural relaxation.

Cell lengths 7.785, 7.785, 7.785 Å; angles 90.00, 90.00, 90.00 degrees
Space group F-43m (No. 216)
Asymmetric unit:
Na1 0.000 0.000 0.000 x4
Tb1 0.250 0.250 0.750 x4
Pr1 0.250 0.250 0.250 x4
Pb1 0.000 0.000 0.500 x4

Computed properties:
Magnetic moment = 0.01 μB/f.u.
Total energy = -3.801 eV per atom

***

Entry 11:
A plane-wave DFT calculation with GGA-PBE was carried out for NbCuI2O after structural relaxation.

Cell lengths 5.526, 5.526, 3.575 Å; angles 90.00, 90.00, 90.00 degrees
Space group P4/mmm (No. 123)
Asymmetric unit:
Nb1 0.000 0.000 0.000 x1
Cu1 0.500 0.500 0.500 x1
I1 0.000 0.500 0.500 x2
O1 0.500 0.500 0.000 x1

Computed properties:
Magnetic moment = 1.82 μB/f.u.
Distance to the lowest polymorph of the same formula = 693 meV per atom
Formation energy from raw total energies = 0.36 eV/atom
Total energy = -4.082 eV per atom

***

Entry 12:
A plane-wave DFT calculation with GGA-PBE was carried out for CeEr2ZrN4 after structural relaxation.

Cell lengths 5.898, 3.412, 5.934 Å; angles 90.00, 109.23, 90.00 degrees
Space group P2/m (No. 10)
Asymmetric unit:
Ce1 0.000 0.000 0.000 x1
Er1 0.500 0.000 0.500 x1
Er2 0.500 0.500 0.000 x1
Zr1 0.000 0.500 0.500 x1
N1 0.242 0.000 0.739 x2
N2 0.248 0.500 0.261 x2

Computed properties:
Magnetic moment = 0.00 μB/f.u.
Formation energy from raw total energies = -1.68 eV/atom
Total energy = -8.792 eV per atom

***

Number 4 is which compound? RbHfInAs2